Density functional theory data (GGA-PBEsol) for an optimized crystal structure of La2CdAu.

Unit cell a=3.746 b=5.015 c=5.545 alpha=90.00 beta=90.00 gamma=90.00
Space group Pmm2 (No. 25)
Asymmetric unit:
La: 0.000 0.000 0.000 (multiplicity 1)
La: 0.000 0.500 0.400 (multiplicity 1)
Cd: 0.500 0.500 0.873 (multiplicity 1)
Au: 0.500 0.000 0.532 (multiplicity 1)

## Properties
**V**: 26.04 Å³/atom
**Energy of formation**: -0.516 eV per atom

---

Density functional theory data (GGA-PBEsol) for an optimized crystal structure of LiCd2Au.

Unit cell a=4.123 b=4.123 c=8.291 alpha=90.00 beta=90.00 gamma=90.00
Space group I-4m2 (No. 119)
Asymmetric unit:
Li: 0.000 0.000 0.000 (multiplicity 2)
Cd: 0.000 0.000 0.500 (multiplicity 2)
Cd: 0.000 0.500 0.750 (multiplicity 2)
Au: 0.000 0.500 0.250 (multiplicity 2)

## Properties
**V**: 17.62 Å³/atom
**Energy above the most stable polymorph in this dataset**: 40.2 meV per atom
**Energy of formation**: -0.316 eV per atom

---

Density functional theory data (GGA-PBEsol) for an optimized crystal structure of LiCd2Au.

Unit cell a=6.561 b=6.561 c=6.561 alpha=90.00 beta=90.00 gamma=90.00
Space group F-43m (No. 216)
Asymmetric unit:
Li: 0.000 0.000 0.000 (multiplicity 4)
Cd: 0.000 0.000 0.500 (multiplicity 4)
Cd: 0.250 0.250 0.750 (multiplicity 4)
Au: 0.250 0.250 0.250 (multiplicity 4)

## Properties
**V**: 17.65 Å³/atom
**Energy above the most stable polymorph in this dataset**: 54.5 meV per atom
**Energy of formation**: -0.301 eV per atom

---

Density functional theory data (GGA-PBEsol) for an optimized crystal structure of Li2CdAu.

Unit cell a=3.274 b=3.274 c=5.889 alpha=90.00 beta=90.00 gamma=90.00
Space group P4/mmm (No. 123)
Asymmetric unit:
Li: 0.000 0.000 0.226 (multiplicity 2)
Cd: 0.500 0.500 0.500 (multiplicity 1)
Au: 0.500 0.500 0.000 (multiplicity 1)

## Properties
**V**: 15.78 Å³/atom
**Energy above the most stable polymorph in this dataset**: 26.6 meV per atom
**Energy of formation**: -0.392 eV per atom

---

Density functional theory data (GGA-PBEsol) for an optimized crystal structure of LiCdAu2.

Unit cell a=9.578 b=2.937 c=4.888 alpha=90.00 beta=99.44 gamma=90.00
Space group Cm (No. 8)
Asymmetric unit:
Li: 0.000 0.000 0.000 (multiplicity 2)
Cd: 0.263 0.500 0.291 (multiplicity 2)
Au: 0.010 0.500 0.519 (multiplicity 2)
Au: 0.256 0.000 0.798 (multiplicity 2)

## Properties
**V**: 16.95 Å³/atom
**Energy of formation**: -0.334 eV per atom

---

Density functional theory data (GGA-PBEsol) for an optimized crystal structure of LiCdAu2.

Unit cell a=4.103 b=4.103 c=3.959 alpha=90.00 beta=90.00 gamma=90.00
Space group P4/mmm (No. 123)
Asymmetric unit:
Li: 0.000 0.000 0.000 (multiplicity 1)
Cd: 0.500 0.500 0.000 (multiplicity 1)
Au: 0.000 0.500 0.500 (multiplicity 2)

## Properties
**V**: 16.66 Å³/atom
**Energy of formation**: -0.374 eV per atom

---

Density functional theory data (GGA-PBEsol) for an optimized crystal structure of LiCd2Au.

Unit cell a=3.091 b=3.869 c=5.960 alpha=90.00 beta=90.00 gamma=90.00
Space group Pmmm (No. 47)
Asymmetric unit:
Li: 0.000 0.000 0.000 (multiplicity 1)
Cd: 0.500 0.500 0.246 (multiplicity 2)
Au: 0.000 0.000 0.500 (multiplicity 1)

## Properties
**V**: 17.82 Å³/atom
**Energy above the most stable polymorph in this dataset**: 77.5 meV per atom
**Energy of formation**: -0.278 eV per atom

---

Density functional theory data (GGA-PBEsol) for an optimized crystal structure of Li2CdAu.

Unit cell a=4.387 b=4.387 c=6.403 alpha=90.00 beta=90.00 gamma=90.00
Space group I4/mmm (No. 139)
Asymmetric unit:
Li: 0.000 0.500 0.250 (multiplicity 4)
Cd: 0.000 0.000 0.000 (multiplicity 2)
Au: 0.000 0.000 0.500 (multiplicity 2)

## Properties
**V**: 15.41 Å³/atom
**Energy above the most stable polymorph in this dataset**: 9.8 meV per atom
**Energy of formation**: -0.409 eV per atom

---

Density functional theory data (GGA-PBEsol) for an optimized crystal structure of Li2CdAu.

Unit cell a=6.421 b=6.421 c=6.421 alpha=90.00 beta=90.00 gamma=90.00
Space group F-43m (No. 216)
Asymmetric unit:
Li: 0.000 0.000 0.000 (multiplicity 4)
Li: 0.250 0.250 0.250 (multiplicity 4)
Cd: 0.000 0.000 0.500 (multiplicity 4)
Au: 0.250 0.250 0.750 (multiplicity 4)

## Properties
**V**: 16.55 Å³/atom
**Energy above the most stable polymorph in this dataset**: 10.9 meV per atom
**Energy of formation**: -0.408 eV per atom

---

Density functional theory data (GGA-PBEsol) for an optimized crystal structure of LiCdAu2.

Unit cell a=3.448 b=3.448 c=5.726 alpha=90.00 beta=90.00 gamma=90.00
Space group P4mm (No. 99)
Asymmetric unit:
Li: 0.000 0.000 0.000 (multiplicity 1)
Cd: 0.500 0.500 0.725 (multiplicity 1)
Au: 0.000 0.000 0.474 (multiplicity 1)
Au: 0.500 0.500 0.208 (multiplicity 1)

## Properties
**V**: 17.02 Å³/atom
**Energy of formation**: -0.292 eV per atom

---

Density functional theory data (GGA-PBEsol) for an optimized crystal structure of Li2CdAu2.

Unit cell a=7.320 b=7.320 c=3.080 alpha=90.00 beta=90.00 gamma=90.00
Space group P4/mbm (No. 127)
Asymmetric unit:
Li: 0.160 0.340 0.000 (multiplicity 4)
Cd: 0.000 0.000 0.500 (multiplicity 2)
Au: 0.137 0.637 0.500 (multiplicity 4)

## Properties
**V**: 16.51 Å³/atom
**Energy of formation**: -0.396 eV per atom

---

Density functional theory data (GGA-PBEsol) for an optimized crystal structure of LiCdAu2.

Unit cell a=6.454 b=6.454 c=6.454 alpha=90.00 beta=90.00 gamma=90.00
Space group F-43m (No. 216)
Asymmetric unit:
Li: 0.000 0.000 0.000 (multiplicity 4)
Cd: 0.250 0.250 0.250 (multiplicity 4)
Au: 0.000 0.000 0.500 (multiplicity 4)
Au: 0.250 0.250 0.750 (multiplicity 4)

## Properties
**V**: 16.80 Å³/atom
**Energy of formation**: -0.350 eV per atom